VASP calculation (GGA-PBE) on a geometry-optimized LaPuIrAu structure.

Lattice parameters (Å, degrees): 5.1022 5.1022 5.1022 60.00 60.00 60.00
Last column: nearest neighbours and their distance in Å.
Positions (direct):
La: 0.5000 0.5000 0.5000  4 Au 3.12, 4 Ir 3.12
Au: 0.2500 0.2500 0.2500  4 La 3.12, 4 Pu 3.12
Pu: 0.0000 0.0000 0.0000  4 Ir 3.12, 4 Au 3.12
Ir: 0.7500 0.7500 0.7500  4 Pu 3.12, 4 La 3.12

Properties
N(E_F)	3.06	states/eV per atom
formation energy	-515.8	meV per atom
magnetic moment	5.741	μB per cell

---

VASP calculation (GGA-PBE) on a geometry-optimized La8Ir3RhAu3 structure.

Lattice parameters (Å, degrees): 8.4851 8.4851 8.7042 119.17 90.00 120.00
Last column: nearest neighbours and their distance in Å.
Positions (direct):
Ir: 0.0000 0.5000 0.5000  6 La 2.91
Ir: 0.5000 0.5000 0.5000  6 La 2.91
Ir: 0.5000 0.0000 0.5000  6 La 2.91
Rh: 0.0000 0.0000 0.5000  6 La 2.88
La: 0.7398 0.4796 0.7193  3 Ir 2.91, 3 Au 3.17
La: 0.2374 0.9785 0.7159  1 Rh 2.88, 2 Ir 2.91, 2 Au 3.18
La: 0.7411 0.9785 0.7159  1 Rh 2.88, 2 Ir 2.91, 2 Au 3.18
La: 0.2602 0.5204 0.2807  3 Ir 2.91, 3 Au 3.17
La: 0.7627 0.5254 0.2841  1 Rh 2.88, 2 Ir 2.91, 2 Au 3.18
La: 0.7626 0.0215 0.2841  1 Rh 2.88, 2 Ir 2.91, 2 Au 3.18
La: 0.2589 0.0215 0.2841  1 Rh 2.88, 2 Ir 2.91, 2 Au 3.18
La: 0.2373 0.4746 0.7159  1 Rh 2.88, 2 Ir 2.91, 2 Au 3.18
Au: 0.0000 0.5000 0.0000  6 La 3.17-3.18
Au: 0.0000 0.0000 0.0000  6 La 3.17-3.18
Au: 0.5000 0.5000 0.0000  6 La 3.17-3.18

Properties
N(E_F)	0.47	states/eV per atom
formation energy	-761.8	meV per atom
magnetic moment	0.000	μB per cell

---

VASP calculation (GGA-PBE) on a geometry-optimized La4IrRhAu2 structure.

Lattice parameters (Å, degrees): 4.2202 7.3561 7.6586 108.63 90.00 90.00
Last column: nearest neighbours and their distance in Å.
Positions (direct):
La: 0.0000 0.7408 0.2188  1 Ir 2.91, 2 Rh 2.92, 3 Au 3.18-3.20
La: 0.0000 0.2592 0.7812  1 Ir 2.91, 2 Rh 2.92, 3 Au 3.18-3.20
La: 0.5000 0.7624 0.7817  2 Ir 2.90, 1 Rh 2.93, 3 Au 3.18-3.19
La: 0.5000 0.2376 0.2183  2 Ir 2.90, 1 Rh 2.93, 3 Au 3.18-3.19
Au: 0.5000 0.0000 0.5000  6 La 3.18
Au: 0.0000 0.5000 0.5000  6 La 3.19-3.20
Rh: 0.5000 0.5000 0.0000  6 La 2.92-2.93
Ir: 0.0000 0.0000 0.0000  6 La 2.90-2.91

Properties
N(E_F)	0.48	states/eV per atom
formation energy	-784.2	meV per atom
magnetic moment	0.000	μB per cell

---

VASP calculation (GGA-PBE) on a geometry-optimized La6Ir2RuAu structure.

Lattice parameters (Å, degrees): 7.2980 7.2989 7.9249 62.55 62.56 60.00
Last column: nearest neighbours and their distance in Å.
Positions (direct):
La: 0.7442 0.1033 0.7608  1 Ru 2.84, 2 Ir 2.92-2.94, 1 Au 3.12
La: 0.1032 0.3917 0.7610  1 Ru 2.84, 2 Ir 2.92-2.94, 1 Au 3.12
La: 0.2688 0.9179 0.2394  1 Ru 2.89, 2 Ir 2.93-2.95, 1 Au 3.09
La: 0.9181 0.5733 0.2402  1 Ru 2.88, 2 Ir 2.93-2.95, 1 Au 3.09
La: 0.5737 0.2687 0.2396  1 Ru 2.89, 2 Ir 2.93-2.95, 1 Au 3.09
La: 0.3916 0.7447 0.7599  1 Ru 2.84, 2 Ir 2.92-2.93, 1 Au 3.12
Ru: 0.3333 0.3337 0.9997  6 La 2.84-2.89
Ir: 0.9952 0.9948 0.0148  6 La 2.92-2.95
Ir: 0.5008 0.5009 0.4971  6 La 2.93-2.94
Au: 0.8328 0.8325 0.5028  6 La 3.09-3.12, 1 Ir 3.27

Properties
N(E_F)	0.59	states/eV per atom
formation energy	-561.7	meV per atom
magnetic moment	0.000	μB per cell

---

VASP calculation (GGA-PBE) on a geometry-optimized La6IrRu2Au structure.

Lattice parameters (Å, degrees): 7.2935 7.2906 7.8549 62.32 62.29 59.87
Last column: nearest neighbours and their distance in Å.
Positions (direct):
La: 0.9108 0.5756 0.2426  2 Ru 2.89-2.96, 1 Ir 2.91, 1 Au 3.06
La: 0.1006 0.3888 0.7587  1 Ir 2.86, 2 Ru 2.87-2.93, 1 Au 3.11
La: 0.7531 0.0995 0.7591  1 Ir 2.86, 2 Ru 2.87-2.94, 1 Au 3.11
La: 0.2706 0.9116 0.2427  2 Ru 2.89-2.96, 1 Ir 2.91, 1 Au 3.06
La: 0.3895 0.7515 0.7588  1 Ir 2.86, 2 Ru 2.87-2.93, 1 Au 3.11
La: 0.5744 0.2716 0.2422  2 Ru 2.89-2.96, 1 Ir 2.91, 1 Au 3.06
Ir: 0.3337 0.3335 0.9988  6 La 2.86-2.91
Ru: 0.4998 0.5002 0.4998  6 La 2.89-2.94
Ru: 0.9961 0.9957 0.0125  6 La 2.87-2.96
Au: 0.8329 0.8336 0.5001  6 La 3.06-3.11, 1 Ru 3.23

Properties
N(E_F)	0.55	states/eV per atom
formation energy	-446.4	meV per atom
magnetic moment	0.000	μB per cell

---

VASP calculation (GGA-PBE) on a geometry-optimized La2Si4Ir3Au structure.

Lattice parameters (Å, degrees): 4.2885 4.2885 9.9871 90.00 90.00 90.00
Last column: nearest neighbours and their distance in Å.
Positions (direct):
Si: 0.5000 0.5000 0.0000  4 Ir 2.46
Si: 0.5000 0.0000 0.6375  3 Ir 2.40-2.55, 2 Au 2.55
Si: 0.0000 0.5000 0.3625  3 Ir 2.40-2.55, 2 Au 2.55
Si: 0.0000 0.0000 0.0000  4 Ir 2.46
Au: 0.5000 0.5000 0.5000  4 Si 2.55
Ir: 0.0000 0.5000 0.1217  5 Si 2.40-2.46
Ir: 0.0000 0.0000 0.5000  4 Si 2.55
Ir: 0.5000 0.0000 0.8783  5 Si 2.40-2.46
La: 0.0000 0.5000 0.7612  8 Si 3.21-3.27, 6 Ir 3.25-3.38, 2 Au 3.38
La: 0.5000 0.0000 0.2388  8 Si 3.21-3.27, 6 Ir 3.25-3.38, 2 Au 3.38

Properties
N(E_F)	0.64	states/eV per atom
formation energy (no corrections)	-0.89	eV per atom
magnetic moment	0.000	μB per cell

---

VASP calculation (GGA-PBE) on a geometry-optimized LaSmIrAu structure.

Lattice parameters (Å, degrees): 5.1409 5.1409 5.1409 60.00 60.00 60.00
Last column: nearest neighbours and their distance in Å.
Positions (direct):
Sm: 0.2500 0.2500 0.2500  4 Ir 3.15, 4 Au 3.15
Ir: 0.5000 0.5000 0.5000  4 Sm 3.15, 4 La 3.15
Au: 0.0000 0.0000 0.0000  4 La 3.15, 4 Sm 3.15
La: 0.7500 0.7500 0.7500  4 Au 3.15, 4 Ir 3.15

Properties
N(E_F)	0.86	states/eV per atom
formation energy	-698.6	meV per atom
magnetic moment	0.000	μB per cell

---

VASP calculation (GGA-PBE) on a geometry-optimized La2Sn4IrAu3 structure.

Lattice parameters (Å, degrees): 4.6394 4.6394 11.3465 90.00 90.00 90.00
Last column: nearest neighbours and their distance in Å.
Positions (direct):
Sn: 0.5000 0.5000 0.0000  4 Au 2.82
Sn: 0.0000 0.5000 0.3766  3 Au 2.66-2.71, 2 Ir 2.71
Sn: 0.5000 0.0000 0.6234  3 Au 2.66-2.71, 2 Ir 2.71
Sn: 0.0000 0.0000 0.0000  4 Au 2.82
Au: 0.5000 0.0000 0.8580  5 Sn 2.66-2.82
Au: 0.0000 0.5000 0.1420  5 Sn 2.66-2.82
Au: 0.0000 0.0000 0.5000  4 Sn 2.71
La: 0.5000 0.0000 0.2737  2 Ir 3.46, 6 Au 3.46-3.60, 4 Sn 3.48
La: 0.0000 0.5000 0.7263  2 Ir 3.46, 6 Au 3.46-3.60, 4 Sn 3.48
Ir: 0.5000 0.5000 0.5000  4 Sn 2.71

Properties
N(E_F)	0.55	states/eV per atom
formation energy	-570.1	meV per atom
magnetic moment	0.000	μB per cell

---

VASP calculation (GGA-PBE) on a geometry-optimized SrLaIrAu structure.

Lattice parameters (Å, degrees): 5.2096 5.2096 5.2096 60.00 60.00 60.00
Last column: nearest neighbours and their distance in Å.
Positions (direct):
Ir: 0.5000 0.5000 0.5000  4 La 3.19, 4 Sr 3.19
Sr: 0.2500 0.2500 0.2500  4 Ir 3.19, 4 Au 3.19
La: 0.7500 0.7500 0.7500  4 Au 3.19, 4 Ir 3.19
Au: 0.0000 0.0000 0.0000  4 La 3.19, 4 Sr 3.19

Properties
N(E_F)	0.36	states/eV per atom
formation energy	-545.3	meV per atom
magnetic moment	0.000	μB per cell

---

VASP calculation (GGA-PBE) on a geometry-optimized LaTbIrAu structure.

Lattice parameters (Å, degrees): 5.1023 5.1023 5.1023 60.00 60.00 60.00
Last column: nearest neighbours and their distance in Å.
Positions (direct):
Tb: 0.7500 0.7500 0.7500  4 Au 3.12, 4 Ir 3.12
Au: 0.0000 0.0000 0.0000  4 Tb 3.12, 4 La 3.12
La: 0.2500 0.2500 0.2500  4 Ir 3.12, 4 Au 3.12
Ir: 0.5000 0.5000 0.5000  4 Tb 3.12, 4 La 3.12

Properties
N(E_F)	0.81	states/eV per atom
formation energy	-726.9	meV per atom
magnetic moment	0.000	μB per cell

---

VASP calculation (GGA-PBE) on a geometry-optimized La8Te4Ir3Au structure.

Lattice parameters (Å, degrees): 8.6472 9.1472 8.6479 118.21 120.00 90.00
Last column: nearest neighbours and their distance in Å.
Positions (direct):
Ir: 0.5000 0.5000 0.5000  6 La 2.94-2.97
Ir: 0.0000 0.5000 0.5000  6 La 2.94-2.97
Ir: 0.5000 0.5000 0.0000  6 La 2.94-2.97
La: 0.7546 0.2871 0.0324  2 Ir 2.94, 1 Au 3.08, 1 Te 3.24
La: 0.7547 0.2872 0.5093  2 Ir 2.94, 1 Au 3.08, 1 Te 3.24
La: 0.7222 0.7129 0.9676  2 Ir 2.94, 1 Au 3.08, 1 Te 3.24
La: 0.2454 0.7129 0.9676  2 Ir 2.94, 1 Au 3.08, 1 Te 3.24
La: 0.2778 0.2871 0.0324  2 Ir 2.94, 1 Au 3.08, 1 Te 3.24
La: 0.2630 0.2892 0.5261  3 Ir 2.97
La: 0.7370 0.7108 0.4739  3 Ir 2.97
La: 0.2453 0.7128 0.4907  2 Ir 2.94, 1 Au 3.08, 1 Te 3.24
Te: 0.5000 0.0000 0.0000  6 La 3.24
Te: 0.0000 0.0000 0.5000  6 La 3.34-3.37
Te: 0.5000 0.0000 0.5000  6 La 3.34-3.37
Te: 0.0000 0.0000 0.0000  6 La 3.34-3.37
Au: 0.0000 0.5000 0.0000  6 La 3.08

Properties
N(E_F)	0.79	states/eV per atom
formation energy (no corrections)	-1.17	eV per atom
magnetic moment	0.000	μB per cell

---

VASP calculation (GGA-PBE) on a geometry-optimized La6Te3Ir2Au structure.

Lattice parameters (Å, degrees): 7.5032 7.5032 8.0975 98.89 98.89 120.00
Last column: nearest neighbours and their distance in Å.
Positions (direct):
Au: 0.0000 0.0000 0.0000  6 La 3.12-3.14
La: 0.9287 0.5734 0.7842  2 Ir 2.93-2.94, 1 Au 3.14, 1 Te 3.26
La: 0.2840 0.2840 0.7889  2 Ir 2.93, 1 Au 3.12, 1 Te 3.23
La: 0.7160 0.7160 0.2111  2 Ir 2.93, 1 Au 3.12, 1 Te 3.23
La: 0.0713 0.4266 0.2158  2 Ir 2.93-2.94, 1 Au 3.14, 1 Te 3.26
La: 0.5734 0.9287 0.7842  2 Ir 2.93-2.94, 1 Au 3.14, 1 Te 3.26
La: 0.4266 0.0713 0.2158  2 Ir 2.93-2.94, 1 Au 3.14, 1 Te 3.26
Ir: 0.3326 0.6674 0.0000  6 La 2.93-2.94
Ir: 0.6674 0.3326 0.0000  6 La 2.93-2.94
Te: 0.8398 0.1602 0.5000  6 La 3.26-3.39
Te: 0.5000 0.5000 0.5000  6 La 3.23-3.39
Te: 0.1602 0.8398 0.5000  6 La 3.26-3.39

Properties
N(E_F)	0.67	states/eV per atom
formation energy (no corrections)	-1.18	eV per atom
magnetic moment	0.000	μB per cell

---

Number 12 is which compound?
La6Te3Ir2Au